(1)
Pa2Sn2C: optimized geometry, PBE.

The value obtained for the total DFT energy (no corrections) is -0.5405 Ry/atom.

abc: 13.072 13.072 13.072
angles: 161.32 161.32 26.54
Sites, in units of the cell vectors:
Pa: 0.082 0.332 0.750
Pa: 0.332 0.082 0.250
Pa: 0.668 0.918 0.750
Pa: 0.918 0.668 0.250
Sn: 0.212 0.462 0.750
Sn: 0.462 0.212 0.250
Sn: 0.538 0.788 0.750
Sn: 0.788 0.538 0.250
C: 0.125 0.875 0.250
C: 0.875 0.125 0.750


(2)
Pa2Tc4Sn2C: optimized geometry, PBE.

The value obtained for the total DFT energy (no corrections) is -0.6413 Ry/atom.

abc: 5.993 5.993 5.993
angles: 117.06 117.06 95.17
Sites, in units of the cell vectors:
Pa: 0.221 0.221 0.000
Pa: 0.779 0.779 0.000
Tc: 0.254 0.254 0.509
Tc: 0.254 0.746 0.000
Tc: 0.746 0.254 0.000
Tc: 0.746 0.746 0.491
Sn: 0.250 0.750 0.500
Sn: 0.750 0.250 0.500
C: 0.500 0.500 0.000


(3)
Pa2TcSnC: optimized geometry, PBE.

The value obtained for the total DFT energy (no corrections) is -0.6484 Ry/atom.

abc: 7.561 3.611 8.208
angles: 90.00 110.58 90.00
Sites, in units of the cell vectors:
Pa: 0.152 0.250 0.399
Pa: 0.206 0.750 0.001
Pa: 0.794 0.250 0.999
Pa: 0.848 0.750 0.601
Tc: 0.198 0.250 0.716
Tc: 0.802 0.750 0.284
Sn: 0.476 0.750 0.713
Sn: 0.524 0.250 0.287
C: 0.025 0.750 0.179
C: 0.975 0.250 0.821


(4)
Pa3TaC4: optimized geometry, PBE.

The value obtained for the total DFT energy (no corrections) is -0.7445 Ry/atom.

abc: 6.054 6.054 3.455
angles: 90.00 90.00 109.11
Sites, in units of the cell vectors:
Pa: 0.000 0.000 0.000
Pa: 0.000 0.500 0.500
Pa: 0.500 0.000 0.500
Ta: 0.500 0.500 0.000
C: 0.269 0.731 0.000
C: 0.271 0.271 0.500
C: 0.729 0.729 0.500
C: 0.731 0.269 0.000


(5)
Pa2TaC3: optimized geometry, PBE.

The value obtained for the total DFT energy (no corrections) is -0.7442 Ry/atom.

abc: 7.750 7.750 7.750
angles: 154.20 154.20 36.81
Sites, in units of the cell vectors:
Pa: 0.163 0.163 0.000
Pa: 0.837 0.837 0.000
Ta: 0.500 0.500 0.000
C: 0.000 0.000 0.000
C: 0.348 0.348 0.000
C: 0.652 0.652 0.000


(6)
Pa5Ta3C12: optimized geometry, PBE.

The value obtained for the total DFT energy (no corrections) is -0.6909 Ry/atom.

abc: 11.472 11.472 11.472
angles: 109.47 109.47 109.47
Sites, in units of the cell vectors:
Pa: 0.000 0.000 0.000
Pa: 0.000 0.000 0.500
Pa: 0.000 0.500 0.000
Pa: 0.000 0.500 0.500
Pa: 0.125 0.750 0.875
Pa: 0.125 0.875 0.250
Pa: 0.250 0.125 0.875
Pa: 0.250 0.625 0.375
Pa: 0.375 0.250 0.625
Pa: 0.375 0.625 0.750
Pa: 0.500 0.000 0.000
Pa: 0.500 0.000 0.500
Pa: 0.500 0.500 0.000
Pa: 0.500 0.500 0.500
Pa: 0.625 0.375 0.250
Pa: 0.625 0.750 0.375
Pa: 0.750 0.375 0.625
Pa: 0.750 0.875 0.125
Pa: 0.875 0.125 0.750
Pa: 0.875 0.250 0.125
Ta: 0.125 0.250 0.375
Ta: 0.125 0.375 0.750
Ta: 0.250 0.375 0.125
Ta: 0.250 0.875 0.625
Ta: 0.375 0.125 0.250
Ta: 0.375 0.750 0.125
Ta: 0.625 0.250 0.875
Ta: 0.625 0.875 0.750
Ta: 0.750 0.125 0.375
Ta: 0.750 0.625 0.875
Ta: 0.875 0.625 0.250
Ta: 0.875 0.750 0.625
C: 0.082 0.685 0.414
C: 0.082 0.897 0.668
C: 0.086 0.772 0.668
C: 0.086 0.815 0.418
C: 0.103 0.272 0.185
C: 0.103 0.332 0.918
C: 0.168 0.272 0.586
C: 0.168 0.397 0.582
C: 0.185 0.103 0.272
C: 0.185 0.582 0.914
C: 0.228 0.332 0.914
C: 0.228 0.397 0.315
C: 0.272 0.185 0.103
C: 0.272 0.586 0.168
C: 0.315 0.228 0.397
C: 0.315 0.586 0.918
C: 0.332 0.914 0.228
C: 0.332 0.918 0.103
C: 0.397 0.315 0.228
C: 0.397 0.582 0.168
C: 0.414 0.082 0.685
C: 0.414 0.832 0.728
C: 0.418 0.086 0.815
C: 0.418 0.832 0.603
C: 0.582 0.168 0.397
C: 0.582 0.914 0.185
C: 0.586 0.168 0.272
C: 0.586 0.918 0.315
C: 0.603 0.418 0.832
C: 0.603 0.685 0.772
C: 0.668 0.082 0.897
C: 0.668 0.086 0.772
C: 0.685 0.414 0.082
C: 0.685 0.772 0.603
C: 0.728 0.414 0.832
C: 0.728 0.815 0.897
C: 0.772 0.603 0.685
C: 0.772 0.668 0.086
C: 0.815 0.418 0.086
C: 0.815 0.897 0.728
C: 0.832 0.603 0.418
C: 0.832 0.728 0.414
C: 0.897 0.668 0.082
C: 0.897 0.728 0.815
C: 0.914 0.185 0.582
C: 0.914 0.228 0.332
C: 0.918 0.103 0.332
C: 0.918 0.315 0.586


(7)
Pa2TaC: optimized geometry, PBE.

The value obtained for the total DFT energy (no corrections) is -0.7173 Ry/atom.

abc: 9.115 9.115 9.115
angles: 20.09 20.09 20.09
Sites, in units of the cell vectors:
Pa: 0.108 0.108 0.108
Pa: 0.892 0.892 0.892
Ta: 0.000 0.000 0.000
C: 0.500 0.500 0.500


(8)
Tb2PaTaC4: optimized geometry, PBE.

The value obtained for the total DFT energy (no corrections) is -0.6500 Ry/atom.

abc: 6.971 6.971 6.971
angles: 120.60 119.48 89.94
Sites, in units of the cell vectors:
Tb: 0.000 0.000 0.000
Tb: 0.500 0.000 0.000
Tb: 0.500 0.000 0.500
Tb: 0.500 0.500 0.500
Pa: 0.000 0.500 0.500
Pa: 0.500 0.500 0.000
Ta: 0.000 0.000 0.500
Ta: 0.000 0.500 0.000
C: 0.219 0.745 0.473
C: 0.228 0.255 0.973
C: 0.231 0.245 0.514
C: 0.231 0.717 0.986
C: 0.769 0.283 0.014
C: 0.769 0.755 0.486
C: 0.772 0.745 0.027
C: 0.781 0.255 0.527


(9)
PaTa2TcC4: optimized geometry, PBE.

The value obtained for the total DFT energy (no corrections) is -0.7590 Ry/atom.

abc: 5.910 5.910 11.069
angles: 90.00 90.00 148.12
Sites, in units of the cell vectors:
Pa: 0.109 0.891 0.750
Pa: 0.891 0.109 0.250
Ta: 0.372 0.628 0.540
Ta: 0.372 0.628 0.960
Ta: 0.628 0.372 0.040
Ta: 0.628 0.372 0.460
Tc: 0.153 0.847 0.250
Tc: 0.847 0.153 0.750
C: 0.000 0.000 0.000
C: 0.000 0.000 0.500
C: 0.267 0.733 0.115
C: 0.267 0.733 0.385
C: 0.451 0.549 0.750
C: 0.549 0.451 0.250
C: 0.733 0.267 0.615
C: 0.733 0.267 0.885


(10)
ThPa2TaC4: optimized geometry, PBE.

The value obtained for the total DFT energy (no corrections) is -0.7171 Ry/atom.

abc: 7.072 7.072 7.072
angles: 120.47 120.09 89.51
Sites, in units of the cell vectors:
Th: 0.000 0.000 0.000
Th: 0.500 0.000 0.500
Pa: 0.000 0.500 0.500
Pa: 0.500 0.000 0.000
Pa: 0.500 0.500 0.000
Pa: 0.500 0.500 0.500
Ta: 0.000 0.000 0.500
Ta: 0.000 0.500 0.000
C: 0.228 0.745 0.483
C: 0.230 0.246 0.515
C: 0.230 0.715 0.985
C: 0.238 0.255 0.983
C: 0.762 0.745 0.017
C: 0.770 0.285 0.015
C: 0.770 0.754 0.485
C: 0.772 0.255 0.517


(11)
Th2PaTaC4: optimized geometry, PBE.

The value obtained for the total DFT energy (no corrections) is -0.6754 Ry/atom.

abc: 6.337 6.337 13.086
angles: 90.00 90.00 147.86
Sites, in units of the cell vectors:
Th: 0.136 0.864 0.532
Th: 0.136 0.864 0.968
Th: 0.864 0.136 0.032
Th: 0.864 0.136 0.468
Pa: 0.373 0.627 0.750
Pa: 0.627 0.373 0.250
Ta: 0.360 0.640 0.250
Ta: 0.640 0.360 0.750
C: 0.031 0.969 0.750
C: 0.238 0.762 0.140
C: 0.238 0.762 0.360
C: 0.500 0.500 0.000
C: 0.500 0.500 0.500
C: 0.762 0.238 0.640
C: 0.762 0.238 0.860
C: 0.969 0.031 0.250


(12)
PaTaTiC3: optimized geometry, PBE.

The value obtained for the total DFT energy (no corrections) is -0.7358 Ry/atom.

abc: 5.667 3.290 8.417
angles: 90.00 102.70 90.00
Sites, in units of the cell vectors:
Pa: 0.150 0.250 0.201
Pa: 0.850 0.750 0.799
Ta: 0.367 0.250 0.857
Ta: 0.633 0.750 0.143
Ti: 0.272 0.750 0.547
Ti: 0.728 0.250 0.453
C: 0.058 0.250 0.658
C: 0.249 0.750 0.991
C: 0.460 0.750 0.349
C: 0.540 0.250 0.651
C: 0.751 0.250 0.009
C: 0.942 0.750 0.342


Question: The lowest total DFT energy (no corrections) belongs to which entry?
Answer: PaTa2TcC4